Entry from Alexandria via LeMat-Bulk: CsMo2Pt after structural relaxation (PBE-GGA).

The formation energy is 1489 meV/atom. As for the excess energy over the best structure of this formula in the dataset: 72 meV per atom. The calculation puts the energy at -90.4 eV per cell. The calculation puts the density at 11.7 Mg/m³.

The space group is Fm-3m (No. 225) and the conventional cell measures 6.654, 6.654 and 6.654 Å, with angles of 90.00, 90.00 and 90.00 degrees. The inequivalent atoms are Cs at (0.000, 0.000, 0.000), Mo at (0.250, 0.250, 0.250) and Pt at (0.000, 0.000, 0.500).